Below is a relaxed structure of ErGaPb, with properties calculated at the PBE level. Values from VASP.

```
&SYSTEM
  ibrav = 0, nat = 6, ntyp = 3
/
ATOMIC_SPECIES
Ga 69.72 Ga.upf
Er 167.26 Er.upf
Pb 207.20 Pb.upf
CELL_PARAMETERS angstrom
-4.008 -0.878 2.023
-0.205 -4.393 -1.262
5.822 0.638 6.058
ATOMIC_POSITIONS angstrom
Ga 2.091 -0.708 3.178
Ga -0.481 -3.925 3.641
Er 1.781 -2.853 5.114
Er -0.172 -1.780 1.705
Pb 4.136 -0.356 5.169
Pb -2.527 -4.277 1.650
```

Output
Uncorrected energy, eV/cell: -24.1
Formation energy from the elements, eV/atom: -0.246
Magnetization, μB per cell: 0.0
Symmetry: No. 12

Below is a relaxed structure of Y2ScTc, with properties calculated at the PBE level. Values from VASP.

```
&SYSTEM
  ibrav = 0, nat = 4, ntyp = 3
/
ATOMIC_SPECIES
Sc 44.96 Sc.upf
Tc 98.00 Tc.upf
Y 88.91 Y.upf
CELL_PARAMETERS angstrom
3.479 0.011 0.000
-0.009 3.479 0.000
0.000 0.000 8.207
ATOMIC_POSITIONS angstrom
Sc 1.735 1.745 2.052
Tc 1.735 1.745 6.155
Y 0.000 0.000 7.796
Y 0.000 0.000 4.515
```

Output
Uncorrected energy, eV/cell: -29.3
Formation energy from the elements, eV/atom: 0.078
Magnetization, μB per cell: 0.8
Symmetry: No. 123

Below is a relaxed structure of Th2MgGa2Rh5, with properties calculated at the PBE level. Values from VASP.

```
&SYSTEM
  ibrav = 0, nat = 20, ntyp = 4
/
ATOMIC_SPECIES
Th 232.04 Th.upf
Mg 24.30 Mg.upf
Ga 69.72 Ga.upf
Rh 102.91 Rh.upf
CELL_PARAMETERS angstrom
-2.597 2.195 1.414
-3.554 -7.623 5.306
6.089 2.377 7.495
ATOMIC_POSITIONS angstrom
Th -1.326 -4.746 4.932
Th 3.861 -0.501 7.868
Th 1.328 -0.592 3.358
Th 1.207 -4.654 9.443
Mg 0.000 0.000 0.000
Mg 1.268 -2.623 6.400
Ga 3.348 0.560 5.281
Ga -0.813 -5.806 7.519
Ga 3.156 -2.633 9.885
Ga -0.621 -2.613 2.915
Rh -1.609 -0.339 2.365
Rh 1.548 -2.713 11.849
Rh 3.251 2.424 7.003
Rh -1.219 -3.304 7.686
Rh -3.313 -5.476 7.211
Rh 1.157 0.253 6.528
Rh 0.997 -1.574 9.069
Rh -1.059 -1.478 5.145
Rh -3.075 -2.714 3.360
Rh 1.746 2.286 4.454
```

Output
Uncorrected energy, eV/cell: -133.5
Formation energy from the elements, eV/atom: -0.749
Magnetization, μB per cell: 0.0
Symmetry: No. 127

Below is a relaxed structure of MnCd2Te, with properties calculated at the PBE level. Values from VASP.

```
&SYSTEM
  ibrav = 0, nat = 4, ntyp = 3
/
ATOMIC_SPECIES
Cd 112.41 Cd.upf
Mn 54.94 Mn.upf
Te 127.60 Te.upf
CELL_PARAMETERS angstrom
5.652 0.000 0.000
0.000 4.129 -0.015
0.000 0.002 4.139
ATOMIC_POSITIONS angstrom
Cd 0.000 0.034 0.034
Cd 0.000 2.031 2.028
Mn 2.826 1.033 1.031
Te 2.826 3.098 3.093
```

Output
Uncorrected energy, eV/cell: -13.4
Magnetization, μB per cell: 4.3
Symmetry: No. 65
E_form (uncorrected), eV/atom: 0.191

Below is a relaxed structure of Pm2Y5, with properties calculated at the PBE level. Values from VASP.

```
&SYSTEM
  ibrav = 0, nat = 14, ntyp = 2
/
ATOMIC_SPECIES
Pm 145.00 Pm.upf
Y 88.91 Y.upf
CELL_PARAMETERS angstrom
6.348 0.000 0.000
0.000 9.299 0.311
-3.174 -1.075 7.866
ATOMIC_POSITIONS angstrom
Pm -1.061 2.730 6.856
Pm 2.113 0.844 1.166
Pm 4.235 5.494 1.321
Pm 1.061 7.380 7.012
Y 1.051 4.013 2.408
Y -2.123 -0.438 5.614
Y -1.050 5.696 4.702
Y 2.124 7.178 3.630
Y 4.224 2.528 3.475
Y 1.050 1.047 4.547
Y 5.297 8.663 2.563
Y 2.123 4.211 5.769
Y 5.291 2.325 0.078
Y 1.057 6.975 0.233
```

Output
Uncorrected energy, eV/cell: -83.5
Formation energy from the elements, eV/atom: 0.007
Magnetization, μB per cell: 0.0
Symmetry: No. 15

Below is a relaxed structure of Sr5AcBi5, with properties calculated at the PBE level. Values from VASP.

```
&SYSTEM
  ibrav = 0, nat = 11, ntyp = 3
/
ATOMIC_SPECIES
Sr 87.62 Sr.upf
Ac 227.00 Ac.upf
Bi 208.98 Bi.upf
CELL_PARAMETERS angstrom
6.788 0.000 0.000
-3.394 7.956 0.045
0.000 -2.927 9.047
ATOMIC_POSITIONS angstrom
Sr 3.394 1.913 2.943
Sr 3.394 0.359 7.762
Sr 0.000 -1.464 4.524
Sr 0.000 4.670 1.330
Sr 0.000 3.115 6.148
Ac 0.000 0.000 0.000
Bi 3.394 4.985 1.643
Bi 3.394 3.417 6.040
Bi 3.394 0.000 0.000
Bi 0.000 1.611 3.052
Bi 0.000 0.043 7.449
```

Output
Uncorrected energy, eV/cell: -40.2
Formation energy from the elements, eV/atom: -0.750
Magnetization, μB per cell: 0.0
Symmetry: No. 12

Below is a relaxed structure of CaPaCuAu, with properties calculated at the PBE level. Values from VASP.

```
&SYSTEM
  ibrav = 0, nat = 4, ntyp = 4
/
ATOMIC_SPECIES
Ca 40.08 Ca.upf
Pa 231.04 Pa.upf
Au 196.97 Au.upf
Cu 63.55 Cu.upf
CELL_PARAMETERS angstrom
5.030 0.000 0.000
2.515 4.356 0.000
2.515 1.452 4.107
ATOMIC_POSITIONS angstrom
Ca 5.030 2.904 2.054
Pa 0.000 0.000 0.000
Au 7.545 4.356 3.080
Cu 2.515 1.452 1.027
```

Output
Uncorrected energy, eV/cell: -19.3
Formation energy from the elements, eV/atom: -0.098
Magnetization, μB per cell: 0.0
Symmetry: No. 216

Below is a relaxed structure of LaNd2Dy6, with properties calculated at the PBE level. Values from VASP.

```
&SYSTEM
  ibrav = 0, nat = 9, ntyp = 3
/
ATOMIC_SPECIES
La 138.91 La.upf
Nd 144.24 Nd.upf
Dy 162.50 Dy.upf
CELL_PARAMETERS angstrom
3.559 0.000 0.000
0.000 8.515 -4.916
0.000 0.000 9.832
ATOMIC_POSITIONS angstrom
La 1.780 0.000 0.000
Nd 0.938 5.677 0.000
Nd 2.621 2.838 4.916
Dy 0.821 5.510 3.397
Dy 0.821 0.187 3.361
Dy 0.821 2.818 7.990
Dy 2.738 3.004 1.519
Dy 2.738 8.328 1.555
Dy 2.738 5.697 -3.074
```

Output
Uncorrected energy, eV/cell: -41.4
Formation energy from the elements, eV/atom: 0.071
Magnetization, μB per cell: 0.0
Symmetry: No. 147

Below is a relaxed structure of LaNiC2, with properties calculated at the PBE level. Values from VASP.

```
&SYSTEM
  ibrav = 0, nat = 4, ntyp = 3
/
ATOMIC_SPECIES
Ni 58.69 Ni.upf
C 12.01 C.upf
La 138.91 La.upf
CELL_PARAMETERS angstrom
-2.265 -3.487 0.640
-4.085 -0.068 -1.003
-1.324 -2.280 -3.279
ATOMIC_POSITIONS angstrom
Ni 0.000 0.000 0.000
C -1.919 -1.459 -0.910
C -5.756 -4.376 -2.731
La -3.837 -2.917 -1.821
```

Output
Uncorrected energy, eV/cell: -24.5
Formation energy from the elements, eV/atom: 1.154
Magnetization, μB per cell: 0.0
Symmetry: No. 225

Below is a relaxed structure of KLiIn3, with properties calculated at the PBE level. Values from VASP.

```
&SYSTEM
  ibrav = 0, nat = 5, ntyp = 3
/
ATOMIC_SPECIES
K 39.10 K.upf
Li 6.94 Li.upf
In 114.82 In.upf
CELL_PARAMETERS angstrom
-1.155 4.009 4.449
-4.683 -3.429 1.875
3.734 -3.061 3.727
ATOMIC_POSITIONS angstrom
K 0.000 0.000 0.000
Li -1.052 -1.241 5.026
In -2.341 -1.715 0.937
In 1.867 -1.530 1.863
In -0.577 2.005 2.225
```

Output
Uncorrected energy, eV/cell: -7.5
Formation energy from the elements, eV/atom: 0.754
Magnetization, μB per cell: 0.0
Symmetry: No. 221

Below is a relaxed structure of AlAsS3, with properties calculated at the PBE level. Values from VASP.

```
&SYSTEM
  ibrav = 0, nat = 5, ntyp = 3
/
ATOMIC_SPECIES
As 74.92 As.upf
S 32.06 S.upf
Al 26.98 Al.upf
CELL_PARAMETERS angstrom
-0.604 2.116 -4.013
3.704 -2.108 -1.668
-2.620 -3.467 -1.434
ATOMIC_POSITIONS angstrom
As 0.240 -1.730 -3.558
S 1.852 -1.054 -0.834
S -1.310 -1.734 -0.717
S -0.302 1.058 -2.006
Al 0.000 0.000 0.000
```

Output
Uncorrected energy, eV/cell: -19.8
Magnetization, μB per cell: 0.0
Symmetry: No. 221
E_form (uncorrected), eV/atom: 0.200

Below is a relaxed structure of HfZr4H8, with properties calculated at the PBE level. Values from VASP.

```
&SYSTEM
  ibrav = 0, nat = 13, ntyp = 3
/
ATOMIC_SPECIES
Hf 178.49 Hf.upf
Zr 91.22 Zr.upf
H 1.01 H.upf
CELL_PARAMETERS angstrom
-3.270 -2.870 2.869
3.815 -3.431 0.915
1.385 2.674 4.254
ATOMIC_POSITIONS angstrom
Hf 0.965 -1.814 4.019
Zr 2.600 -0.379 2.584
Zr 0.000 0.000 0.000
Zr 0.272 -3.151 1.892
Zr -0.942 -0.098 3.561
H 3.091 -1.284 4.596
H -0.466 -1.002 5.577
H 0.754 -4.067 3.901
H 0.480 -0.903 2.001
H 2.396 -2.626 2.460
H -1.161 -2.344 3.441
H 1.449 -2.725 6.036
H 1.176 0.439 4.137
```

Output
Uncorrected energy, eV/cell: -71.5
Magnetization, μB per cell: 0.0
Symmetry: No. 221

Below is a relaxed structure of Sc2TcOs2, with properties calculated at the PBE level. Values from VASP.

```
&SYSTEM
  ibrav = 0, nat = 5, ntyp = 3
/
ATOMIC_SPECIES
Sc 44.96 Sc.upf
Os 190.23 Os.upf
Tc 98.00 Tc.upf
CELL_PARAMETERS angstrom
-1.425 -3.150 -0.094
1.855 -0.922 2.770
-5.655 0.477 6.105
ATOMIC_POSITIONS angstrom
Sc -0.927 -1.547 2.265
Sc -4.298 -2.048 6.516
Os -3.433 -2.355 3.674
Os -1.793 -1.241 5.107
Tc 0.000 0.000 0.000
```

Output
Uncorrected energy, eV/cell: -43.8
Formation energy from the elements, eV/atom: 0.341
Magnetization, μB per cell: 0.0
Symmetry: No. 139

Below is a relaxed structure of HfTiSb2, with properties calculated at the PBE level. Values from VASP.

```
&SYSTEM
  ibrav = 0, nat = 8, ntyp = 3
/
ATOMIC_SPECIES
Sb 121.76 Sb.upf
Hf 178.49 Hf.upf
Ti 47.87 Ti.upf
CELL_PARAMETERS angstrom
-1.349 1.381 6.075
6.024 -1.296 1.632
3.937 6.174 2.815
ATOMIC_POSITIONS angstrom
Sb 0.910 2.228 4.634
Sb 4.565 0.922 2.554
Sb 4.777 4.647 5.020
Sb 6.974 4.720 8.836
Hf 0.000 0.000 0.000
Hf 2.463 3.799 6.372
Ti 2.338 0.043 3.853
Ti 6.150 2.460 4.150
```

Output
Uncorrected energy, eV/cell: -50.1
Magnetization, μB per cell: 1.9
Symmetry: No. 122
E_form (uncorrected), eV/atom: 0.264

Below is a relaxed structure of BaPmZn2Pt2, with properties calculated at the PBE level. Values from VASP.

```
&SYSTEM
  ibrav = 0, nat = 6, ntyp = 4
/
ATOMIC_SPECIES
Ba 137.33 Ba.upf
Pm 145.00 Pm.upf
Zn 65.41 Zn.upf
Pt 195.08 Pt.upf
CELL_PARAMETERS angstrom
-1.079 -4.267 0.929
3.176 2.091 2.403
-5.735 2.607 5.313
ATOMIC_POSITIONS angstrom
Ba 0.000 0.000 0.000
Pm -2.868 1.304 2.657
Zn -1.308 -1.399 2.946
Zn -2.331 1.830 5.699
Pt -3.699 -0.311 5.162
Pt 0.061 0.743 3.483
```

Output
Uncorrected energy, eV/cell: -26.0
Formation energy from the elements, eV/atom: -0.776
Magnetization, μB per cell: 0.0
Symmetry: No. 164

Below is a relaxed structure of TiBeTcPt, with properties calculated at the PBE level. Values from VASP.

```
&SYSTEM
  ibrav = 0, nat = 4, ntyp = 4
/
ATOMIC_SPECIES
Be 9.01 Be.upf
Tc 98.00 Tc.upf
Pt 195.08 Pt.upf
Ti 47.87 Ti.upf
CELL_PARAMETERS angstrom
4.247 0.000 0.000
2.123 3.678 0.000
2.123 1.226 3.467
ATOMIC_POSITIONS angstrom
Be 6.370 3.678 2.601
Tc 0.000 0.000 0.000
Pt 4.247 2.452 1.734
Ti 2.123 1.226 0.867
```

Output
Uncorrected energy, eV/cell: -30.1
Formation energy from the elements, eV/atom: -0.511
Magnetization, μB per cell: 0.0
Symmetry: No. 216

Below is a relaxed structure of MnAsIr, with properties calculated at the PBE level. Values from VASP.

```
&SYSTEM
  ibrav = 0, nat = 6, ntyp = 3
/
ATOMIC_SPECIES
Mn 54.94 Mn.upf
As 74.92 As.upf
Ir 192.22 Ir.upf
CELL_PARAMETERS angstrom
-3.537 2.154 -2.022
-1.723 -2.409 0.447
-0.251 1.430 6.742
ATOMIC_POSITIONS angstrom
Mn -2.854 2.530 2.638
Mn -3.244 2.283 -0.195
As -0.912 1.788 6.124
As -1.719 0.027 3.559
Ir -3.203 1.377 5.117
Ir -2.458 0.118 1.198
```

Output
Uncorrected energy, eV/cell: -45.6
Formation energy from the elements, eV/atom: -0.048
Magnetization, μB per cell: 7.3
Symmetry: No. 6

Below is a relaxed structure of NaSrGa2Ni, with properties calculated at the PBE level. Values from VASP.

```
&SYSTEM
  ibrav = 0, nat = 5, ntyp = 4
/
ATOMIC_SPECIES
Sr 87.62 Sr.upf
Na 22.99 Na.upf
Ga 69.72 Ga.upf
Ni 58.69 Ni.upf
CELL_PARAMETERS angstrom
4.695 0.000 0.000
0.000 4.695 0.000
0.000 0.000 5.140
ATOMIC_POSITIONS angstrom
Sr 2.347 2.347 2.570
Na 0.000 0.000 2.570
Ga 0.000 2.347 0.000
Ga 2.347 0.000 0.000
Ni 0.000 0.000 0.000
```

Output
Uncorrected energy, eV/cell: -15.7
Formation energy from the elements, eV/atom: -0.180
Magnetization, μB per cell: 0.0
Symmetry: No. 123

Below is a relaxed structure of Nd6SmDy4, with properties calculated at the PBE level. Values from VASP.

```
&SYSTEM
  ibrav = 0, nat = 22, ntyp = 3
/
ATOMIC_SPECIES
Nd 144.24 Nd.upf
Sm 150.36 Sm.upf
Dy 162.50 Dy.upf
CELL_PARAMETERS angstrom
-0.088 -1.813 -5.618
0.086 -3.721 4.301
-25.945 -0.096 0.436
ATOMIC_POSITIONS angstrom
Nd -0.044 -0.906 -2.809
Nd -13.017 -0.954 -2.591
Nd -8.255 -1.125 0.492
Nd -17.692 -4.505 -1.373
Nd -21.249 -4.518 -1.313
Nd -4.698 -1.111 0.432
Nd -10.383 -3.690 -1.750
Nd -15.565 -1.939 0.869
Nd -23.319 -1.968 0.999
Nd -2.628 -3.661 -1.880
Nd -6.449 -4.132 1.434
Nd -19.498 -1.497 -2.315
Sm -6.506 -3.553 -1.854
Sm -19.441 -2.076 0.973
Dy -14.123 -4.212 -1.523
Dy -3.167 -4.199 1.404
Dy -11.824 -1.417 0.642
Dy -22.780 -1.430 -2.285
Dy -24.824 -4.251 -1.343
Dy -1.123 -1.378 0.462
Dy -16.218 -1.406 -2.395
Dy -9.730 -4.223 1.515
```

Output
Uncorrected energy, eV/cell: -101.0
Formation energy from the elements, eV/atom: 0.111
Magnetization, μB per cell: 0.0
Symmetry: No. 63

Below is a relaxed structure of NaUI6, with properties calculated at the PBE level. Values from VASP.

```
&SYSTEM
  ibrav = 0, nat = 8, ntyp = 3
/
ATOMIC_SPECIES
Na 22.99 Na.upf
U 238.03 U.upf
I 126.90 I.upf
CELL_PARAMETERS angstrom
7.788 0.009 0.010
3.884 6.752 0.015
3.882 2.244 7.054
ATOMIC_POSITIONS angstrom
Na 7.777 4.502 3.540
U 0.000 0.000 0.000
I 5.042 4.349 5.371
I 9.272 2.206 5.373
I 6.543 2.060 1.700
I 6.282 6.798 1.706
I 10.512 4.655 1.709
I 9.011 6.945 5.379
```

Output
Uncorrected energy, eV/cell: -28.8
Magnetization, μB per cell: 1.0
Symmetry: No. 148
E_form (uncorrected), eV/atom: -0.864